<w>
# LaErPO

Crystalline LaErPO at its relaxed geometry (PBE, OQMD via LeMat-Bulk).

Calculated values
Space-group type = Pmc2_1 (26)

a = 4.1155 Å, b = 8.0163 Å, c = 5.4976 Å
α = 90.00°, β = 90.00°, γ = 90.00°
Closest atoms and distances in Å follow each position.
Element x y z (fractional)
Er (0.0000, 0.6937, 0.4394)  2 O 2.28
Er (0.0000, 0.3063, 0.9394)  2 O 2.28
La (0.5000, 0.1257, 0.4542)  2 O 2.49-2.62, 2 P 2.77
La (0.5000, 0.8743, 0.9542)  2 O 2.49-2.62, 2 P 2.77
P (0.0000, 0.6427, 0.9382)  3 Er 2.70-2.79, 2 La 2.77
P (0.0000, 0.3573, 0.4382)  3 Er 2.70-2.79, 2 La 2.77
O (0.5000, 0.1843, 0.9222)  2 Er 2.28, 1 La 2.49
O (0.5000, 0.8157, 0.4222)  2 Er 2.28, 1 La 2.49

---

<x>
# LaErPO

Crystalline LaErPO at its relaxed geometry (PBE, OQMD via LeMat-Bulk).

Calculated values
Space-group type = Pmc2_1 (26)

a = 4.3740 Å, b = 7.3491 Å, c = 6.0767 Å
α = 90.00°, β = 90.00°, γ = 90.00°
Closest atoms and distances in Å follow each position.
Element x y z (fractional)
Er (0.5000, 0.1180, 0.5123)  2 O 2.19-2.20
Er (0.5000, 0.8820, 0.0123)  2 O 2.19-2.20
La (0.0000, 0.7009, 0.4386)  2 O 2.46
La (0.0000, 0.2991, 0.9386)  2 O 2.46
O (0.5000, 0.8442, 0.3709)  2 Er 2.19-2.20
O (0.5000, 0.1558, 0.8709)  2 Er 2.19-2.20
P (0.0000, 0.6894, 0.9322)  2 Er 2.65, 1 La 2.87
P (0.0000, 0.3106, 0.4322)  2 Er 2.65, 1 La 2.87

---

Which one sits at the bottom of the stability order? <w> does.

---

<w>
# LaErPO

Crystalline LaErPO at its relaxed geometry (PBE, OQMD via LeMat-Bulk).

Calculated values
Space-group type = P4/nmm (129)

a = 4.4041 Å, b = 4.4041 Å, c = 8.9335 Å
α = 90.00°, β = 90.00°, γ = 90.00°
Closest atoms and distances in Å follow each position.
Element x y z (fractional)
Er (0.5000, 0.5000, 0.5000)  4 P 2.73
Er (0.0000, 0.0000, 0.5000)  4 P 2.73
P (0.0000, 0.5000, 0.6813)  4 Er 2.73
P (0.5000, 0.0000, 0.3187)  4 Er 2.73
La (0.5000, 0.0000, 0.8837)  4 O 2.43
La (0.0000, 0.5000, 0.1163)  4 O 2.43
O (0.5000, 0.5000, 0.0000)  4 La 2.43
O (0.0000, 0.0000, 0.0000)  4 La 2.43

---

<x>
# LaErPO

Crystalline LaErPO at its relaxed geometry (PBE, OQMD via LeMat-Bulk).

Calculated values
Space-group type = P4/nmm (129)

a = 4.2249 Å, b = 4.2249 Å, c = 9.1394 Å
α = 90.00°, β = 90.00°, γ = 90.00°
Closest atoms and distances in Å follow each position.
Element x y z (fractional)
O (0.2500, 0.7500, 0.0000)  4 Er 2.29
O (0.7500, 0.2500, 0.0000)  4 Er 2.29
Er (0.2500, 0.2500, 0.0965)  4 O 2.29
Er (0.7500, 0.7500, 0.9035)  4 O 2.29
La (0.2500, 0.7500, 0.5000)  4 P 2.91, 4 La 2.99
La (0.7500, 0.2500, 0.5000)  4 P 2.91, 4 La 2.99
P (0.2500, 0.2500, 0.7196)  4 La 2.91
P (0.7500, 0.7500, 0.2804)  4 La 2.91

---

Which one sits at the bottom of the stability order? <x> does.

---

<w>
# SrLaEr

Crystalline SrLaEr at its relaxed geometry (PBE, OQMD via LeMat-Bulk).

Calculated values
Space-group type = F-43m (216)

a = 5.7973 Å, b = 5.7973 Å, c = 5.7973 Å
α = 60.00°, β = 60.00°, γ = 60.00°
Closest atoms and distances in Å follow each position.
Element x y z (fractional)
Sr (0.7500, 0.7500, 0.7500)  4 Er 3.55
La (0.2500, 0.2500, 0.2500)  4 Er 3.55
Er (0.0000, 0.0000, 0.0000)  4 Sr 3.55, 4 La 3.55

---

<x>
# SrLaEr

Crystalline SrLaEr at its relaxed geometry (PBE, OQMD via LeMat-Bulk).

Calculated values
Space-group type = P4/nmm (129)

a = 5.0745 Å, b = 5.0745 Å, c = 9.2951 Å
α = 90.00°, β = 90.00°, γ = 90.00°
Closest atoms and distances in Å follow each position.
Element x y z (fractional)
La (0.5000, 0.0000, 0.7258)  4 Er 3.60, 5 Sr 3.62-3.73
La (0.0000, 0.5000, 0.2742)  4 Er 3.60, 5 Sr 3.62-3.73
Er (0.5000, 0.5000, 0.0000)  4 Er 3.59, 4 La 3.60, 4 Sr 3.94
Er (0.0000, 0.0000, 0.0000)  4 Er 3.59, 4 La 3.60, 4 Sr 3.94
Sr (0.0000, 0.5000, 0.6752)  5 La 3.62-3.73, 4 Er 3.94
Sr (0.5000, 0.0000, 0.3248)  5 La 3.62-3.73, 4 Er 3.94

---

Which one sits at the bottom of the stability order? <w> does.

---

<w>
# Li2Er

Crystalline Li2Er at its relaxed geometry (PBE, OQMD via LeMat-Bulk).

Calculated values
Space-group type = Cmcm (63)

a = 7.6517 Å, b = 7.6517 Å, c = 4.9326 Å
α = 90.00°, β = 90.00°, γ = 153.19°
Closest atoms and distances in Å follow each position.
Element x y z (fractional)
Er (0.4247, 0.5753, 0.7500)  8 Li 3.07-3.26, 2 Er 3.33
Er (0.5753, 0.4247, 0.2500)  8 Li 3.07-3.26, 2 Er 3.33
Li (0.8969, 0.1031, 0.2500)  2 Li 2.71
Li (0.7408, 0.2592, 0.7500)  2 Li 2.71
Li (0.2592, 0.7408, 0.2500)  2 Li 2.71
Li (0.1031, 0.8969, 0.7500)  2 Li 2.71

---

<x>
# Li2Er

Crystalline Li2Er at its relaxed geometry (PBE, OQMD via LeMat-Bulk).

Calculated values
Space-group type = P6/mmm (191)

a = 4.9101 Å, b = 4.9101 Å, c = 3.2489 Å
α = 90.00°, β = 90.00°, γ = 120.00°
Closest atoms and distances in Å follow each position.
Element x y z (fractional)
Er (0.0000, 0.0000, 0.0000)  2 Er 3.25, 12 Li 3.27
Li (0.3333, 0.6667, 0.5000)  3 Li 2.83
Li (0.6667, 0.3333, 0.5000)  3 Li 2.83

---

<y>
# Li2Er

Crystalline Li2Er at its relaxed geometry (PBE, OQMD via LeMat-Bulk).

Calculated values
Space-group type = Fm-3m (225)

a = 4.9645 Å, b = 4.9645 Å, c = 4.9645 Å
α = 60.00°, β = 60.00°, γ = 60.00°
Closest atoms and distances in Å follow each position.
Element x y z (fractional)
Li (0.7500, 0.7500, 0.7500)  4 Er 3.04
Li (0.2500, 0.2500, 0.2500)  4 Er 3.04
Er (0.0000, 0.0000, 0.0000)  8 Li 3.04

---

Which one sits at the bottom of the stability order? <y> does.